Record 1
A plane-wave DFT calculation with GGA-PBE was carried out for a geometry-optimized InCu3GeS4 structure.

Computed properties:
energy	-4.058	eV per atom
energy above the most stable polymorph in this dataset	0.41	eV per formula unit

```
data_InCu3GeS4
_chemical_formula_sum 'In1 Cu3 Ge1 S4'
_symmetry_space_group_name_H-M 'P -4 3 m'
_symmetry_Int_Tables_number 215
_symmetry_space_group_name_Hall 'P -4 2 3'
_cell_length_a 5.6957
_cell_length_b 5.6957
_cell_length_c 5.6957
_cell_angle_alpha 90.00
_cell_angle_beta 90.00
_cell_angle_gamma 90.00
loop_
_atom_site_label
_atom_site_type_symbol
_atom_site_fract_x
_atom_site_fract_y
_atom_site_fract_z
_atom_site_occupancy
In1 In 0.0000 0.0000 0.0000 1
Cu1 Cu 0.0000 0.5000 0.5000 1
Ge1 Ge 0.5000 0.5000 0.5000 1
S1 S 0.2538 0.2538 0.2538 1
```



Record 2
A plane-wave DFT calculation with GGA-PBE was carried out for a geometry-optimized InCuGeSeS2 structure.

Computed properties:
energy	-3.996	eV per atom

```
data_InCuGeSeS2
_chemical_formula_sum 'In4 Cu4 Ge4 Se4 S8'
_symmetry_space_group_name_H-M 'C m c m'
_symmetry_Int_Tables_number 63
_symmetry_space_group_name_Hall '-C 2c 2'
_cell_length_a 3.8213
_cell_length_b 12.3761
_cell_length_c 10.2795
_cell_angle_alpha 90.00
_cell_angle_beta 90.00
_cell_angle_gamma 90.00
loop_
_atom_site_label
_atom_site_type_symbol
_atom_site_fract_x
_atom_site_fract_y
_atom_site_fract_z
_atom_site_occupancy
In1 In 0.0000 0.2178 0.2500 1
Cu1 Cu 0.0000 0.1183 0.7500 1
Ge1 Ge 0.0000 0.5000 0.0000 1
Se1 Se 0.0000 0.4526 0.7500 1
S1 S 0.0000 0.1345 0.5362 1
```



Record 3
A plane-wave DFT calculation with GGA-PBE was carried out for a geometry-optimized InCuGeTeS2 structure.

Computed properties:
energy	-3.872	eV per atom

```
data_InCuGeTeS2
_chemical_formula_sum 'In4 Cu4 Ge4 Te4 S8'
_symmetry_space_group_name_H-M 'C m c m'
_symmetry_Int_Tables_number 63
_symmetry_space_group_name_Hall '-C 2c 2'
_cell_length_a 3.9030
_cell_length_b 12.4576
_cell_length_c 10.9101
_cell_angle_alpha 90.00
_cell_angle_beta 90.00
_cell_angle_gamma 90.00
loop_
_atom_site_label
_atom_site_type_symbol
_atom_site_fract_x
_atom_site_fract_y
_atom_site_fract_z
_atom_site_occupancy
In1 In 0.0000 0.2377 0.2500 1
Cu1 Cu 0.0000 0.4187 0.7500 1
Ge1 Ge 0.0000 0.0000 0.0000 1
Te1 Te 0.0000 0.0816 0.7500 1
S1 S 0.0000 0.3693 0.5560 1
```



Record 4
A plane-wave DFT calculation with GGA-PBE was carried out for a geometry-optimized InCuGeTe2S structure.

Computed properties:
energy	-3.660	eV per atom

```
data_InCuGeTe2S
_chemical_formula_sum 'In4 Cu4 Ge4 Te8 S4'
_symmetry_space_group_name_H-M 'C m c m'
_symmetry_Int_Tables_number 63
_symmetry_space_group_name_Hall '-C 2c 2'
_cell_length_a 4.0651
_cell_length_b 13.1932
_cell_length_c 10.6858
_cell_angle_alpha 90.00
_cell_angle_beta 90.00
_cell_angle_gamma 90.00
loop_
_atom_site_label
_atom_site_type_symbol
_atom_site_fract_x
_atom_site_fract_y
_atom_site_fract_z
_atom_site_occupancy
In1 In 0.0000 0.2201 0.2500 1
Cu1 Cu 0.0000 0.0278 0.7500 1
Ge1 Ge 0.0000 0.5000 0.0000 1
Te1 Te 0.0000 0.1515 0.5536 1
S1 S 0.0000 0.4470 0.7500 1
```



Record 5
A plane-wave DFT calculation with GGA-PBE was carried out for a geometry-optimized Tm2ScIn3CuGe2 structure.

Computed properties:
energy	-4.523	eV per atom
spin magnetization	0.02	μB per formula unit

```
data_Tm2ScIn3CuGe2
_chemical_formula_sum 'Tm4 Sc2 In6 Cu2 Ge4'
_symmetry_space_group_name_H-M 'A m m 2'
_symmetry_Int_Tables_number 38
_cell_length_a 4.1331
_cell_length_b 12.6113
_cell_length_c 7.3138
_cell_angle_alpha 90.00
_cell_angle_beta 90.00
_cell_angle_gamma 90.00
loop_
_symmetry_equiv_pos_as_xyz
'x,y,z'
'-x,-y,z'
'-x,y,z'
'x,-y,z'
'x,y+1/2,z+1/2'
'-x,-y+1/2,z+1/2'
'-x,y+1/2,z+1/2'
'x,-y+1/2,z+1/2'
loop_
_atom_site_label
_atom_site_type_symbol
_atom_site_fract_x
_atom_site_fract_y
_atom_site_fract_z
_atom_site_occupancy
Tm1 Tm 0.0000 0.2014 0.0000 1
Sc1 Sc 0.0000 0.0000 0.6031 1
In1 In 0.5000 0.0000 0.9571 1
In2 In 0.5000 0.1222 0.3263 1
Cu1 Cu 0.0000 0.0000 0.2071 1
Ge1 Ge 0.5000 0.1635 0.7004 1
```



Record 6
A plane-wave DFT calculation with GGA-PBE was carried out for a geometry-optimized InCuGeTe2Se structure.

Computed properties:
energy	-3.555	eV per atom

```
data_InCuGeTe2Se
_chemical_formula_sum 'In4 Cu4 Ge4 Te8 Se4'
_symmetry_space_group_name_H-M 'C m c m'
_symmetry_Int_Tables_number 63
_symmetry_space_group_name_Hall '-C 2c 2'
_cell_length_a 4.0082
_cell_length_b 13.3269
_cell_length_c 10.9878
_cell_angle_alpha 90.00
_cell_angle_beta 90.00
_cell_angle_gamma 90.00
loop_
_atom_site_label
_atom_site_type_symbol
_atom_site_fract_x
_atom_site_fract_y
_atom_site_fract_z
_atom_site_occupancy
In1 In 0.0000 0.2366 0.2500 1
Cu1 Cu 0.0000 0.0358 0.7500 1
Ge1 Ge 0.0000 0.5000 0.0000 1
Te1 Te 0.0000 0.1496 0.5564 1
Se1 Se 0.0000 0.4310 0.7500 1
```



Record 7
A plane-wave DFT calculation with GGA-PBE was carried out for a geometry-optimized TbY2In3CuGe2 structure.

Computed properties:
energy	-4.868	eV per atom
spin magnetization	0.01	μB per formula unit

```
data_TbY2In3CuGe2
_chemical_formula_sum 'Tb2 Y4 In6 Cu2 Ge4'
_symmetry_space_group_name_H-M 'A m m 2'
_symmetry_Int_Tables_number 38
_cell_length_a 4.2465
_cell_length_b 12.8236
_cell_length_c 7.4017
_cell_angle_alpha 90.00
_cell_angle_beta 90.00
_cell_angle_gamma 90.00
loop_
_symmetry_equiv_pos_as_xyz
'x,y,z'
'-x,-y,z'
'-x,y,z'
'x,-y,z'
'x,y+1/2,z+1/2'
'-x,-y+1/2,z+1/2'
'-x,y+1/2,z+1/2'
'x,-y+1/2,z+1/2'
loop_
_atom_site_label
_atom_site_type_symbol
_atom_site_fract_x
_atom_site_fract_y
_atom_site_fract_z
_atom_site_occupancy
Tb1 Tb 0.0000 0.0000 0.0000 1
Y1 Y 0.0000 0.2016 0.3953 1
In1 In 0.5000 0.0000 0.3542 1
In2 In 0.5000 0.1213 0.7180 1
Cu1 Cu 0.0000 0.0000 0.5970 1
Ge1 Ge 0.5000 0.1667 0.0969 1
```



Record 8
A plane-wave DFT calculation with GGA-PBE was carried out for a geometry-optimized Tb2YIn3CuGe2 structure.

Computed properties:
energy	-4.663	eV per atom
spin magnetization	0.02	μB per formula unit

```
data_Tb2YIn3CuGe2
_chemical_formula_sum 'Tb4 Y2 In6 Cu2 Ge4'
_symmetry_space_group_name_H-M 'A m m 2'
_symmetry_Int_Tables_number 38
_cell_length_a 4.2473
_cell_length_b 12.8303
_cell_length_c 7.4092
_cell_angle_alpha 90.00
_cell_angle_beta 90.00
_cell_angle_gamma 90.00
loop_
_symmetry_equiv_pos_as_xyz
'x,y,z'
'-x,-y,z'
'-x,y,z'
'x,-y,z'
'x,y+1/2,z+1/2'
'-x,-y+1/2,z+1/2'
'-x,y+1/2,z+1/2'
'x,-y+1/2,z+1/2'
loop_
_atom_site_label
_atom_site_type_symbol
_atom_site_fract_x
_atom_site_fract_y
_atom_site_fract_z
_atom_site_occupancy
Tb1 Tb 0.0000 0.2015 0.0000 1
Y1 Y 0.0000 0.0000 0.6044 1
In1 In 0.5000 0.0000 0.9587 1
In2 In 0.5000 0.1214 0.3230 1
Cu1 Cu 0.0000 0.0000 0.2014 1
Ge1 Ge 0.5000 0.1666 0.7015 1
```